# Mn2VHRu

Crystalline Mn2VHRu at its relaxed geometry (GGA-PBE, Alexandria).

Unit cell a=3.6614 b=3.6614 c=3.7859 alpha=90.00 beta=90.00 gamma=90.00
With the nearest neighbours (Å) after each atom.
Space group P4/mmm (No. 123)
Symmetry-distinct sites (fractional):
Mn 0.0000 0.5000 0.0000 (multiplicity 2)  2 H 1.83
V 0.0000 0.0000 0.5000 (multiplicity 1)  2 H 1.89
H 0.0000 0.0000 0.0000 (multiplicity 1)  4 Mn 1.83, 2 V 1.89
Ru 0.5000 0.5000 0.5000 (multiplicity 1)  4 V 2.59, 8 Mn 2.63

## Properties
The density of states at the Fermi level is 6.12 states/eV/f.u. For the relative energy among the computed polymorphs, the calculation gives 0.0 kJ per mole of atoms. As for the total energy: -8.035 eV per atom.

# Mn2VHRu

Crystalline Mn2VHRu at its relaxed geometry (GGA-PBE, Alexandria).

Unit cell a=3.6751 b=3.6751 c=3.7912 alpha=90.00 beta=90.00 gamma=90.00
With the nearest neighbours (Å) after each atom.
Space group P4/mmm (No. 123)
Symmetry-distinct sites (fractional):
Mn 0.0000 0.5000 0.0000 (multiplicity 2)  2 H 1.84
V 0.0000 0.0000 0.5000 (multiplicity 1)  4 Ru 2.60, 8 Mn 2.64
H 0.5000 0.5000 0.0000 (multiplicity 1)  4 Mn 1.84, 2 Ru 1.90
Ru 0.5000 0.5000 0.5000 (multiplicity 1)  2 H 1.90

## Properties
The density of states at the Fermi level is 6.61 states/eV/f.u. For the relative energy among the computed polymorphs, the calculation gives 3.6 kJ per mole of atoms. As for the total energy: -7.997 eV per atom.

# MnV2HRu

Crystalline MnV2HRu at its relaxed geometry (GGA-PBE, Alexandria).

Unit cell a=4.0327 b=4.0327 c=3.3304 alpha=90.00 beta=90.00 gamma=90.00
With the nearest neighbours (Å) after each atom.
Space group P4/mmm (No. 123)
Symmetry-distinct sites (fractional):
Mn 0.0000 0.0000 0.0000 (multiplicity 1)  2 H 1.67
V 0.0000 0.5000 0.5000 (multiplicity 2)  2 H 2.02
H 0.0000 0.0000 0.5000 (multiplicity 1)  2 Mn 1.67
Ru 0.5000 0.5000 0.0000 (multiplicity 1)  8 V 2.62, 4 Mn 2.85

## Properties
The density of states at the Fermi level is 5.71 states/eV/f.u. As for the total energy: -8.114 eV per atom.

# Y2MnHRu

Crystalline Y2MnHRu at its relaxed geometry (GGA-PBE, Alexandria).

Unit cell a=4.8555 b=4.8555 c=3.5939 alpha=90.00 beta=90.00 gamma=90.00
With the nearest neighbours (Å) after each atom.
Space group P4/mmm (No. 123)
Symmetry-distinct sites (fractional):
Y 0.0000 0.5000 0.0000 (multiplicity 2)  2 H 2.43
Mn 0.0000 0.0000 0.5000 (multiplicity 1)  2 H 1.80
H 0.0000 0.0000 0.0000 (multiplicity 1)  2 Mn 1.80
Ru 0.5000 0.5000 0.5000 (multiplicity 1)  8 Y 3.02

## Properties
The density of states at the Fermi level is 4.55 states/eV/f.u. As for the total energy: -7.104 eV per atom.

# MnZnHRu2

Crystalline MnZnHRu2 at its relaxed geometry (GGA-PBE, Alexandria).

Unit cell a=3.9186 b=3.9186 c=3.7263 alpha=90.00 beta=90.00 gamma=90.00
With the nearest neighbours (Å) after each atom.
Space group P4/mmm (No. 123)
Symmetry-distinct sites (fractional):
Mn 0.0000 0.0000 0.0000 (multiplicity 1)  2 H 1.86
Zn 0.5000 0.5000 0.0000 (multiplicity 1)  8 Ru 2.70, 4 Mn 2.77
H 0.0000 0.0000 0.5000 (multiplicity 1)  2 Mn 1.86, 4 Ru 1.96
Ru 0.0000 0.5000 0.5000 (multiplicity 2)  2 H 1.96

## Properties
The density of states at the Fermi level is 4.61 states/eV/f.u. As for the total energy: -6.414 eV per atom.

# ZrMnHRu2

Crystalline ZrMnHRu2 at its relaxed geometry (GGA-PBE, Alexandria).

Unit cell a=4.1939 b=4.1939 c=3.6498 alpha=90.00 beta=90.00 gamma=90.00
With the nearest neighbours (Å) after each atom.
Space group P4/mmm (No. 123)
Symmetry-distinct sites (fractional):
Zr 0.0000 0.0000 0.0000 (multiplicity 1)  8 Ru 2.78, 4 Mn 2.97
Mn 0.5000 0.5000 0.0000 (multiplicity 1)  2 H 1.82
H 0.5000 0.5000 0.5000 (multiplicity 1)  2 Mn 1.82
Ru 0.0000 0.5000 0.5000 (multiplicity 2)  2 H 2.10

## Properties
The density of states at the Fermi level is 2.49 states/eV/f.u. As for the total energy: -8.127 eV per atom.

# Zr2MnHRu

Crystalline Zr2MnHRu at its relaxed geometry (GGA-PBE, Alexandria).

Unit cell a=4.5758 b=4.5758 c=3.4359 alpha=90.00 beta=90.00 gamma=90.00
With the nearest neighbours (Å) after each atom.
Space group P4/mmm (No. 123)
Symmetry-distinct sites (fractional):
Zr 0.0000 0.5000 0.0000 (multiplicity 2)  2 H 2.29
Mn 0.0000 0.0000 0.5000 (multiplicity 1)  8 Zr 2.86
H 0.5000 0.5000 0.0000 (multiplicity 1)  2 Ru 1.72
Ru 0.5000 0.5000 0.5000 (multiplicity 1)  2 H 1.72

## Properties
The density of states at the Fermi level is 2.65 states/eV/f.u. For the relative energy among the computed polymorphs, the calculation gives 11.2 kJ per mole of atoms. As for the total energy: -8.022 eV per atom.

# Zr2MnHRu

Crystalline Zr2MnHRu at its relaxed geometry (GGA-PBE, Alexandria).

Unit cell a=4.5920 b=4.5920 c=3.3351 alpha=90.00 beta=90.00 gamma=90.00
With the nearest neighbours (Å) after each atom.
Space group P4/mmm (No. 123)
Symmetry-distinct sites (fractional):
Zr 0.0000 0.5000 0.0000 (multiplicity 2)  2 H 2.30
Mn 0.0000 0.0000 0.5000 (multiplicity 1)  2 H 1.67
H 0.0000 0.0000 0.0000 (multiplicity 1)  2 Mn 1.67
Ru 0.5000 0.5000 0.5000 (multiplicity 1)  8 Zr 2.84

## Properties
The density of states at the Fermi level is 1.76 states/eV/f.u. For the relative energy among the computed polymorphs, the calculation gives 0.0 kJ per mole of atoms. As for the total energy: -8.138 eV per atom.

# MnHS2

Crystalline MnHS2 at its relaxed geometry (GGA-PBE, Alexandria).

Unit cell a=2.9748 b=2.9748 c=7.3795 alpha=90.00 beta=90.00 gamma=120.00
With the nearest neighbours (Å) after each atom.
Space group P3m1 (No. 156)
Symmetry-distinct sites (fractional):
Mn 0.0000 0.0000 0.0000 (multiplicity 1)  4 S 2.19-2.21
H 0.6667 0.3333 0.3456 (multiplicity 1)  3 S 1.75
S 0.0000 0.0000 0.2992 (multiplicity 1)  3 H 1.75
S 0.3333 0.6667 0.8156 (multiplicity 1)  3 Mn 2.19

## Properties
The density of states at the Fermi level is 2.12 states/eV/f.u. For the relative energy among the computed polymorphs, the calculation gives 39.8 kJ per mole of atoms. As for the total energy: -5.152 eV per atom.

# MnHS2

Crystalline MnHS2 at its relaxed geometry (GGA-PBE, Alexandria).

Unit cell a=3.6076 b=6.3109 c=6.3522 alpha=66.23 beta=89.77 gamma=89.18
With the nearest neighbours (Å) after each atom.
Space group P1 (No. 1)
Symmetry-distinct sites (fractional):
Mn 0.0000 0.0000 0.0000 (multiplicity 1)  4 S 2.30-2.33
Mn 0.4937 0.3803 0.3670 (multiplicity 1)  6 S 2.39-2.53
H 0.2193 0.7298 0.5911 (multiplicity 1)  1 S 1.36
H 0.4920 0.4487 0.8095 (multiplicity 1)  1 S 1.38
S 0.4962 0.1334 0.1367 (multiplicity 1)  1 H 2.22, 2 Mn 2.30
S 0.5516 0.6237 0.5957 (multiplicity 1)  2 H 1.36-1.38
S 0.9975 0.6021 0.1255 (multiplicity 1)  3 Mn 2.31-2.44
S 0.9989 0.1502 0.5998 (multiplicity 1)  3 Mn 2.33-2.41

## Properties
The density of states at the Fermi level is 0.88 states/eV/f.u. For the relative energy among the computed polymorphs, the calculation gives 5.8 kJ per mole of atoms. As for the total energy: -5.505 eV per atom.

# MnHS2

Crystalline MnHS2 at its relaxed geometry (GGA-PBE, Alexandria).

Unit cell a=6.4676 b=4.7693 c=7.0785 alpha=90.00 beta=90.00 gamma=90.00
With the nearest neighbours (Å) after each atom.
Space group Pnma (No. 62)
Symmetry-distinct sites (fractional):
Mn 0.0695 0.2500 0.1132 (multiplicity 4)  3 S 2.09-2.20
H 0.1660 0.2500 0.5614 (multiplicity 4)  1 S 1.39
S 0.0934 0.7500 0.6312 (multiplicity 4)  2 Mn 2.09-2.18, 1 H 2.16
S 0.1347 0.7500 0.1361 (multiplicity 4)  1 H 1.39

## Properties
The density of states at the Fermi level is 1.08 states/eV/f.u. For the relative energy among the computed polymorphs, the calculation gives 29.0 kJ per mole of atoms. As for the total energy: -5.263 eV per atom.

# MnHS2

Crystalline MnHS2 at its relaxed geometry (GGA-PBE, Alexandria).

Unit cell a=3.3833 b=3.8247 c=5.8473 alpha=88.35 beta=89.93 gamma=63.76
With the nearest neighbours (Å) after each atom.
Space group P1 (No. 1)
Symmetry-distinct sites (fractional):
Mn 0.0000 0.0000 0.0000 (multiplicity 1)  5 S 2.34-2.51
H 0.4636 0.0717 0.4243 (multiplicity 1)  1 S 1.37
S 0.3230 0.3550 0.8100 (multiplicity 1)  3 Mn 2.34-2.51, 1 H 2.48
S 0.6064 0.7861 0.2649 (multiplicity 1)  1 H 1.37

## Properties
The density of states at the Fermi level is 0.35 states/eV/f.u. For the relative energy among the computed polymorphs, the calculation gives 2.3 kJ per mole of atoms. As for the total energy: -5.541 eV per atom.